## Tl2TcAs2 (PBE)

Data for an optimized crystal structure of Tl2TcAs2.

The electronic total energy comes out at -4.0947 eV per atom. The calculation puts the magnetization at 5.58 Bohr magnetons per cell. For the density, the calculation gives 8.5 g/cm3. The energy of formation comes out at 0.785 eV per atom.

a b c (Å): 4.0159 4.0159 15.8180
angles (deg): 90.00 90.00 90.00
Space group I4/mmm (No. 139)
One atom of each set of equivalent atoms:
Tl: 0.0000 0.5000 0.2500 [4 per cell]
Tc: 0.0000 0.0000 0.0000 [2 per cell]
As: 0.0000 0.0000 0.4249 [4 per cell]